#1
# LiIrC3, relaxed, DFT PBE-GGA
# Calculated density in Mg/m³: 8.38
# V in Å³ per cell: 46.6
data_LiIrC3
_cell_length_a 3.598
_cell_length_b 3.598
_cell_length_c 3.598
_cell_angle_alpha 90.00
_cell_angle_beta 90.00
_cell_angle_gamma 90.00
_space_group_name_H-M_alt 'P m -3 m'
_space_group_IT_number 221
_space_group_name_Hall '-P 4 2 3'
loop_
_atom_site_label
_atom_site_type_symbol
_atom_site_fract_x
_atom_site_fract_y
_atom_site_fract_z
Li1 Li 0.000 0.000 0.000
Ir1 Ir 0.500 0.500 0.500
C1 C 0.000 0.000 0.500


#2
# LiIrC3, relaxed, DFT PBE-GGA
# Calculated density in Mg/m³: 6.16
# V in Å³ per cell: 63.4
data_LiIrC3
_cell_length_a 3.987
_cell_length_b 3.987
_cell_length_c 3.987
_cell_angle_alpha 90.00
_cell_angle_beta 90.00
_cell_angle_gamma 90.00
_space_group_name_H-M_alt 'P m -3 m'
_space_group_IT_number 221
_space_group_name_Hall '-P 4 2 3'
loop_
_atom_site_label
_atom_site_type_symbol
_atom_site_fract_x
_atom_site_fract_y
_atom_site_fract_z
Li1 Li 0.000 0.000 0.000
Ir1 Ir 0.500 0.500 0.500
C1 C 0.000 0.500 0.500


Of them, the most stable is #2 and the least stable is #1.


#1
# LiIrC2, relaxed, DFT PBE-GGA
# Calculated density in Mg/m³: 6.57
# V in Å³ per cell: 225.6
data_LiIrC2
_cell_length_a 4.913
_cell_length_b 4.913
_cell_length_c 9.346
_cell_angle_alpha 90.00
_cell_angle_beta 90.00
_cell_angle_gamma 90.00
_space_group_name_H-M_alt 'I -4 2 d'
_space_group_IT_number 122
_space_group_name_Hall 'I -4 2bw'
loop_
_atom_site_label
_atom_site_type_symbol
_atom_site_fract_x
_atom_site_fract_y
_atom_site_fract_z
Li1 Li 0.000 0.000 0.000
Ir1 Ir 0.000 0.000 0.500
C1 C 0.179 0.250 0.625


#2
# LiIrC2, relaxed, DFT PBE-GGA
# Calculated density in Mg/m³: 10.62
# V in Å³ per cell: 139.6
data_LiIrC2
_cell_length_a 5.188
_cell_length_b 5.188
_cell_length_c 5.188
_cell_angle_alpha 90.00
_cell_angle_beta 90.00
_cell_angle_gamma 90.00
_space_group_name_H-M_alt 'F m -3 m'
_space_group_IT_number 225
_space_group_name_Hall '-F 4 2 3'
loop_
_atom_site_label
_atom_site_type_symbol
_atom_site_fract_x
_atom_site_fract_y
_atom_site_fract_z
Li1 Li 0.000 0.000 0.000
Ir1 Ir 0.000 0.000 0.500
C1 C 0.250 0.250 0.250


Of them, the most stable is #1 and the least stable is #2.


#1
# LiMgIr2C, relaxed, DFT PBE-GGA
# Calculated density in Mg/m³: 10.16
# V in Å³ per cell: 69.9
data_LiMgIr2C
_cell_length_a 4.023
_cell_length_b 4.023
_cell_length_c 4.318
_cell_angle_alpha 90.00
_cell_angle_beta 90.00
_cell_angle_gamma 90.00
_space_group_name_H-M_alt 'P 4/m m m'
_space_group_IT_number 123
_space_group_name_Hall '-P 4 2'
loop_
_atom_site_label
_atom_site_type_symbol
_atom_site_fract_x
_atom_site_fract_y
_atom_site_fract_z
Li1 Li 0.000 0.000 0.000
Mg1 Mg 0.500 0.500 0.000
Ir1 Ir 0.000 0.500 0.500
C1 C 0.500 0.500 0.500


#2
# LiMgIr2C, relaxed, DFT PBE-GGA
# Calculated density in Mg/m³: 10.60
# V in Å³ per cell: 67.0
data_LiMgIr2C
_cell_length_a 4.021
_cell_length_b 4.021
_cell_length_c 4.143
_cell_angle_alpha 90.00
_cell_angle_beta 90.00
_cell_angle_gamma 90.00
_space_group_name_H-M_alt 'P 4/m m m'
_space_group_IT_number 123
_space_group_name_Hall '-P 4 2'
loop_
_atom_site_label
_atom_site_type_symbol
_atom_site_fract_x
_atom_site_fract_y
_atom_site_fract_z
Li1 Li 0.000 0.000 0.000
Mg1 Mg 0.500 0.500 0.000
Ir1 Ir 0.000 0.500 0.500
C1 C 0.000 0.000 0.500


Of them, the most stable is #2 and the least stable is #1.


#1
# LiIrCN, relaxed, DFT PBE-GGA
# Calculated density in Mg/m³: 9.36
# V in Å³ per cell: 39.9
data_LiIrCN
_cell_length_a 2.885
_cell_length_b 3.144
_cell_length_c 4.402
_cell_angle_alpha 90.00
_cell_angle_beta 90.00
_cell_angle_gamma 90.00
_space_group_name_H-M_alt 'P m m 2'
_space_group_IT_number 25
_space_group_name_Hall 'P 2 -2'
loop_
_atom_site_label
_atom_site_type_symbol
_atom_site_fract_x
_atom_site_fract_y
_atom_site_fract_z
Li1 Li 0.000 0.000 0.000
Ir1 Ir 0.000 0.500 0.509
C1 C 0.500 0.500 0.190
N1 N 0.500 0.500 0.897


#2
# LiIrCN, relaxed, DFT PBE-GGA
# Calculated density in Mg/m³: 7.21
# V in Å³ per cell: 51.9
data_LiIrCN
_cell_length_a 3.190
_cell_length_b 3.235
_cell_length_c 5.028
_cell_angle_alpha 90.00
_cell_angle_beta 90.00
_cell_angle_gamma 90.00
_space_group_name_H-M_alt 'P m m 2'
_space_group_IT_number 25
_space_group_name_Hall 'P 2 -2'
loop_
_atom_site_label
_atom_site_type_symbol
_atom_site_fract_x
_atom_site_fract_y
_atom_site_fract_z
Li1 Li 0.000 0.000 0.000
Ir1 Ir 0.500 0.500 0.473
C1 C 0.500 0.000 0.677
N1 N 0.000 0.500 0.255


#3
# LiIrCN, relaxed, DFT PBE-GGA
# Calculated density in Mg/m³: 7.39
# V in Å³ per cell: 101.2
data_LiIrCN
_cell_length_a 9.661
_cell_length_b 2.422
_cell_length_c 4.407
_cell_angle_alpha 90.00
_cell_angle_beta 101.17
_cell_angle_gamma 90.00
_space_group_name_H-M_alt 'C 1 m 1'
_space_group_IT_number 8
_space_group_name_Hall 'C -2y'
loop_
_atom_site_label
_atom_site_type_symbol
_atom_site_fract_x
_atom_site_fract_y
_atom_site_fract_z
Li1 Li 0.000 0.000 0.000
Ir1 Ir 0.411 0.000 0.465
C1 C 0.116 0.500 0.468
N1 N 0.193 0.000 0.462


Of them, the most stable is #1 and the least stable is #2.


#1
# LiIrCN, relaxed, DFT PBE-GGA
# Calculated density in Mg/m³: 8.59
# V in Å³ per cell: 130.7
data_LiIrCN
_cell_length_a 2.8489
_cell_length_b 2.8489
_cell_length_c 18.5888
_cell_angle_alpha 90.00
_cell_angle_beta 90.00
_cell_angle_gamma 120.00
_space_group_name_H-M_alt 'R 3 m'
_space_group_IT_number 160
_space_group_name_Hall 'R 3 -2"'
loop_
_atom_site_label
_atom_site_type_symbol
_atom_site_fract_x
_atom_site_fract_y
_atom_site_fract_z
Li1 Li 0.0000 0.0000 0.0000
Ir1 Ir 0.0000 0.0000 0.2000
C1 C 0.0000 0.0000 0.7915
N1 N 0.0000 0.0000 0.7265


#2
# LiIrCN, relaxed, DFT PBE-GGA
# Calculated density in Mg/m³: 8.00
# V in Å³ per cell: 46.7
data_LiIrCN
_cell_length_a 3.033
_cell_length_b 3.033
_cell_length_c 5.081
_cell_angle_alpha 90.00
_cell_angle_beta 90.00
_cell_angle_gamma 90.00
_space_group_name_H-M_alt 'P 4 m m'
_space_group_IT_number 99
_space_group_name_Hall 'P 4 -2'
loop_
_atom_site_label
_atom_site_type_symbol
_atom_site_fract_x
_atom_site_fract_y
_atom_site_fract_z
Li1 Li 0.000 0.000 0.000
Ir1 Ir 0.500 0.500 0.662
C1 C 0.500 0.500 0.037
N1 N 0.500 0.500 0.274


Of them, the most stable is #2 and the least stable is #1.


#1
# MgZrIr2C, relaxed, DFT PBE-GGA
# Calculated density in Mg/m³: 8.05
# V in Å³ per cell: 105.6
data_MgZrIr2C
_cell_length_a 4.952
_cell_length_b 4.952
_cell_length_c 4.306
_cell_angle_alpha 90.00
_cell_angle_beta 90.00
_cell_angle_gamma 90.00
_space_group_name_H-M_alt 'P 4/m m m'
_space_group_IT_number 123
_space_group_name_Hall '-P 4 2'
loop_
_atom_site_label
_atom_site_type_symbol
_atom_site_fract_x
_atom_site_fract_y
_atom_site_fract_z
Mg1 Mg 0.000 0.000 0.000
Zr1 Zr 0.500 0.500 0.500
Ir1 Ir 0.000 0.500 0.500
C1 C 0.500 0.500 0.000


#2
# MgZrIr2C, relaxed, DFT PBE-GGA
# Calculated density in Mg/m³: 6.48
# V in Å³ per cell: 131.2
data_MgZrIr2C
_cell_length_a 4.818
_cell_length_b 4.818
_cell_length_c 5.650
_cell_angle_alpha 90.00
_cell_angle_beta 90.00
_cell_angle_gamma 90.00
_space_group_name_H-M_alt 'P 4/m m m'
_space_group_IT_number 123
_space_group_name_Hall '-P 4 2'
loop_
_atom_site_label
_atom_site_type_symbol
_atom_site_fract_x
_atom_site_fract_y
_atom_site_fract_z
Mg1 Mg 0.000 0.000 0.000
Zr1 Zr 0.000 0.000 0.500
Ir1 Ir 0.000 0.500 0.500
C1 C 0.500 0.500 0.000


Of them, the most stable is #1 and the least stable is #2.